# RbBeNbNi

RbBeNbNi after structural relaxation (PBE, OQMD via LeMat-Bulk).

Lattice parameters (Å, degrees): 4.539 4.539 4.539 60.00 60.00 60.00
Fractional coordinates of all 4 atoms:
1 Be 0.750 0.750 0.750
2 Nb 0.250 0.250 0.250
3 Ni 0.500 0.500 0.500
4 Rb 0.000 0.000 0.000

The calculation puts the spin magnetization at 0.001 μB/cell. Its energy above the most stable polymorph in this dataset is 0.00 eV/f.u. The space-group type is F-43m. As for the crystal system: cubic.

# LiReBr6

LiReBr6 after structural relaxation (PBE, OQMD via LeMat-Bulk).

Lattice parameters (Å, degrees): 6.612 6.613 7.025 61.93 61.94 60.01
Site moments in Bohr magnetons follow the coordinates.
Fractional coordinates of all 8 atoms:
1 Br 0.607 0.226 0.241  0.03
2 Br 0.926 0.607 0.241  0.03
3 Br 0.226 0.926 0.241  0.03
4 Br 0.774 0.074 0.759  0.03
5 Br 0.074 0.393 0.759  0.03
6 Br 0.393 0.774 0.759  0.03
7 Li 0.500 0.500 0.500  0.01
8 Re 0.000 0.000 0.000  1.60

Its total energy is -3.557 eV/atom. The calculation puts the spin magnetization at 2.000 μB/cell. The space-group type is R-3. As for the crystal system: trigonal.

# Tl2Co

Tl2Co after structural relaxation (PBE, OQMD via LeMat-Bulk).

Lattice parameters (Å, degrees): 6.119 6.119 6.119 60.00 60.00 60.00
Site moments in Bohr magnetons follow the coordinates.
Fractional coordinates of all 6 atoms:
1 Co 0.000 0.000 0.000  2.03
2 Co 0.250 0.250 0.250  2.03
3 Tl 0.625 0.625 0.125  0.00
4 Tl 0.625 0.125 0.625  0.00
5 Tl 0.125 0.625 0.625  -0.01
6 Tl 0.625 0.625 0.625  -0.01

Its total energy is -2.763 eV/atom. The calculation puts the spin magnetization at 3.964 μB/cell. The space-group type is Fd-3m. As for the crystal system: cubic.

# Tl2MoC

Tl2MoC after structural relaxation (PBE, OQMD via LeMat-Bulk).

Lattice parameters (Å, degrees): 3.258 3.258 15.458 90.00 90.00 120.00
Fractional coordinates of all 8 atoms:
1 C 0.000 0.000 0.000
2 C 0.000 0.000 0.500
3 Mo 0.667 0.333 0.250
4 Mo 0.333 0.667 0.750
5 Tl 0.333 0.667 0.103
6 Tl 0.333 0.667 0.397
7 Tl 0.667 0.333 0.603
8 Tl 0.667 0.333 0.897

Its total energy is -4.612 eV/atom. The calculation puts the spin magnetization at 0.020 μB/cell. The space-group type is P6_3/mmc. As for the crystal system: hexagonal.

# NaTbZnS3

NaTbZnS3 after structural relaxation (PBE, OQMD via LeMat-Bulk).

Lattice parameters (Å, degrees): 13.331 3.920 10.756 90.00 90.00 90.00
Fractional coordinates of all 24 atoms:
1 Na 0.762 0.250 0.076
2 Na 0.262 0.250 0.424
3 Na 0.738 0.750 0.576
4 Na 0.238 0.750 0.924
5 S 0.606 0.750 0.071
6 S 0.091 0.250 0.108
7 S 0.862 0.750 0.242
8 S 0.362 0.750 0.258
9 S 0.591 0.250 0.392
10 S 0.106 0.750 0.429
11 S 0.894 0.250 0.571
12 S 0.409 0.750 0.608
13 S 0.638 0.250 0.742
14 S 0.138 0.250 0.758
15 S 0.909 0.750 0.892
16 S 0.394 0.250 0.929
17 Tb 0.480 0.250 0.156
18 Tb 0.980 0.250 0.344
19 Tb 0.020 0.750 0.656
20 Tb 0.520 0.750 0.844
21 Zn 0.988 0.750 0.096
22 Zn 0.488 0.750 0.404
23 Zn 0.512 0.250 0.596
24 Zn 0.012 0.250 0.904

The calculation puts the spin magnetization at 0.007 μB/cell. Its energy above the most stable polymorph in this dataset is 0.08 eV/f.u. The space-group type is Pnma. As for the crystal system: orthorhombic.

# SmTeAs

SmTeAs after structural relaxation (PBE, OQMD via LeMat-Bulk).

Lattice parameters (Å, degrees): 8.527 8.527 3.867 90.00 90.00 120.00
Fractional coordinates of all 9 atoms:
1 As 0.601 0.000 0.000
2 As 0.399 0.399 0.000
3 As 0.000 0.601 0.000
4 Sm 0.292 0.000 0.500
5 Sm 0.000 0.292 0.500
6 Sm 0.708 0.708 0.500
7 Te 0.000 0.000 0.000
8 Te 0.667 0.333 0.500
9 Te 0.333 0.667 0.500

Its total energy is -4.777 eV/atom. The calculation puts the spin magnetization at 0.001 μB/cell. The space-group type is P-62m. As for the crystal system: hexagonal.

# NdGdCo2Si2

NdGdCo2Si2 after structural relaxation (PBE, OQMD via LeMat-Bulk).

Lattice parameters (Å, degrees): 3.988 3.988 6.969 90.00 90.00 90.00
Site moments in Bohr magnetons follow the coordinates.
Fractional coordinates of all 6 atoms:
1 Co 0.500 0.000 0.997  0.32
2 Co 0.000 0.500 0.997  0.32
3 Gd 0.000 0.000 0.693  -0.03
4 Nd 0.500 0.500 0.321  -0.01
5 Si 0.000 0.000 0.170  -0.01
6 Si 0.500 0.500 0.822  0.00

Its total energy is -6.454 eV/atom. The calculation puts the spin magnetization at 0.523 μB/cell. The space-group type is P4mm. As for the crystal system: tetragonal.

# DyZr

DyZr after structural relaxation (PBE, OQMD via LeMat-Bulk).

Lattice parameters (Å, degrees): 5.875 9.063 5.362 90.00 90.00 71.09
Fractional coordinates of all 10 atoms:
1 Dy 0.420 0.191 0.000
2 Dy 0.811 0.409 0.000
3 Dy 0.582 0.800 0.000
4 Dy 0.067 0.181 0.500
5 Dy 0.448 0.419 0.500
6 Zr 0.180 0.617 0.000
7 Zr 0.997 0.983 0.000
8 Zr 0.878 0.615 0.500
9 Zr 0.257 0.800 0.500
10 Zr 0.693 0.985 0.500

Its total energy is -6.515 eV/atom. The calculation puts the spin magnetization at 0.007 μB/cell. The space-group type is Amm2. As for the crystal system: orthorhombic.

# Os

Os after structural relaxation (PBE, OQMD via LeMat-Bulk).

Lattice parameters (Å, degrees): 8.220 8.220 8.220 109.47 109.47 109.47
Fractional coordinates of all 29 atoms:
1 Os 0.000 0.000 0.000
2 Os 0.672 0.000 0.000
3 Os 0.376 0.194 0.000
4 Os 0.194 0.376 0.000
5 Os 0.687 0.402 0.000
6 Os 0.000 0.672 0.000
7 Os 0.402 0.687 0.000
8 Os 0.806 0.806 0.182
9 Os 0.376 0.000 0.194
10 Os 0.000 0.376 0.194
11 Os 0.598 0.598 0.286
12 Os 0.714 0.313 0.313
13 Os 0.313 0.714 0.313
14 Os 0.328 0.328 0.328
15 Os 0.194 0.000 0.376
16 Os 0.000 0.194 0.376
17 Os 0.687 0.000 0.402
18 Os 0.000 0.687 0.402
19 Os 0.598 0.286 0.598
20 Os 0.286 0.598 0.598
21 Os 0.818 0.624 0.624
22 Os 0.624 0.818 0.624
23 Os 0.000 0.000 0.672
24 Os 0.402 0.000 0.687
25 Os 0.000 0.402 0.687
26 Os 0.313 0.313 0.714
27 Os 0.806 0.182 0.806
28 Os 0.182 0.806 0.806
29 Os 0.624 0.624 0.818

The calculation puts the spin magnetization at 0.004 μB/cell. Its energy above the most stable polymorph in this dataset is 0.34 eV/f.u. The space-group type is I-43m. As for the crystal system: cubic.

# PrNd2Mg3CdIn2

PrNd2Mg3CdIn2 after structural relaxation (PBE, OQMD via LeMat-Bulk).

Lattice parameters (Å, degrees): 4.759 7.724 7.724 120.09 90.00 90.00
Fractional coordinates of all 9 atoms:
1 Cd 0.000 0.999 0.999
2 In 0.500 0.668 0.333
3 In 0.500 0.333 0.668
4 Mg 0.500 0.000 0.239
5 Mg 0.500 0.760 0.760
6 Mg 0.500 0.239 0.000
7 Nd 0.000 0.578 0.000
8 Nd 0.000 0.000 0.578
9 Pr 0.000 0.422 0.422

Its total energy is -3.203 eV/atom. The calculation puts the spin magnetization at 0.002 μB/cell. The space-group type is Amm2. As for the crystal system: orthorhombic.